A plane-wave DFT calculation with SCAN was carried out for Y4Cd at its PBEsol-relaxed geometry.

Results
- Formation energy from the elements: 0.3445 eV/atom
- Energy: -28.013 eV per atom
- M_tot: 0.00 μB per formula unit
- Crystal system: tetragonal

Lattice parameters (Å, degrees): 4.199 4.199 17.480 90.00 90.00 90.00
Space group I4/mmm (No. 139)
Unique sites:
Y 0.000 0.000 0.089
Y 0.000 0.500 0.250
Cd 0.000 0.000 0.500

=====

A plane-wave DFT calculation with SCAN was carried out for Y3Cd at its PBEsol-relaxed geometry.

Results
- Formation energy from the elements: -0.1708 eV/atom
- Energy: -28.657 eV per atom
- Energy above the most stable polymorph in this dataset: 0.0618 eV/atom
- M_tot: 0.87 μB per formula unit
- Crystal system: cubic

Lattice parameters (Å, degrees): 4.774 4.774 4.774 90.00 90.00 90.00
Space group Pm-3m (No. 221)
Unique sites:
Y 0.000 0.000 0.500
Cd 0.500 0.500 0.500

=====

A plane-wave DFT calculation with SCAN was carried out for YCd3 at its PBEsol-relaxed geometry.

Results
- Formation energy from the elements: -0.3563 eV/atom
- Energy: -30.128 eV per atom
- M_tot: 0.00 μB per formula unit
- Crystal system: cubic

Lattice parameters (Å, degrees): 7.037 7.037 7.037 90.00 90.00 90.00
Space group Fm-3m (No. 225)
Unique sites:
Y 0.000 0.000 0.000
Cd 0.000 0.000 0.500
Cd 0.250 0.250 0.250

=====

A plane-wave DFT calculation with SCAN was carried out for Y3Cd at its PBEsol-relaxed geometry.

Results
- Formation energy from the elements: -0.1271 eV/atom
- Energy: -28.613 eV per atom
- Energy above the most stable polymorph in this dataset: 0.1055 eV/atom
- M_tot: 0.00 μB per formula unit
- Crystal system: orthorhombic

Lattice parameters (Å, degrees): 3.529 4.652 6.696 90.00 90.00 90.00
Space group Pmmm (No. 47)
Unique sites:
Y 0.000 0.000 0.000
Y 0.500 0.500 0.261
Cd 0.000 0.000 0.500

=====

A plane-wave DFT calculation with SCAN was carried out for Y3Cd5 at its PBEsol-relaxed geometry.

Results
- Formation energy from the elements: -0.4178 eV/atom
- Energy: -29.868 eV per atom
- M_tot: 0.00 μB per formula unit
- Crystal system: orthorhombic

Lattice parameters (Å, degrees): 7.424 10.238 4.998 90.00 90.00 90.00
Space group Cmmm (No. 65)
Unique sites:
Y 0.000 0.000 0.000
Y 0.000 0.269 0.500
Cd 0.000 0.500 0.000
Cd 0.241 0.000 0.500
Cd 0.250 0.250 0.000

=====

A plane-wave DFT calculation with SCAN was carried out for Y3Cd at its PBEsol-relaxed geometry.

Results
- Formation energy from the elements: -0.1853 eV/atom
- Energy: -28.671 eV per atom
- Energy above the most stable polymorph in this dataset: 0.0473 eV/atom
- M_tot: 0.00 μB per formula unit
- Crystal system: hexagonal

Lattice parameters (Å, degrees): 6.8424 6.8424 5.3889 90.00 90.00 120.00
Space group P6_3/mmc (No. 194)
Unique sites:
Y 0.1723 0.3445 0.2500
Cd 0.3333 0.6667 0.7500

=====

A plane-wave DFT calculation with SCAN was carried out for YCd3 at its PBEsol-relaxed geometry.

Results
- Formation energy from the elements: -0.2685 eV/atom
- Energy: -30.040 eV per atom
- M_tot: 0.00 μB per formula unit
- Crystal system: monoclinic

Lattice parameters (Å, degrees): 3.223 4.842 5.943 90.00 96.96 90.00
Space group P2/m (No. 10)
Unique sites:
Y 0.000 0.000 0.000
Cd 0.425 0.500 0.750
Cd 0.500 0.000 0.500

=====

A plane-wave DFT calculation with SCAN was carried out for Y3Cd at its PBEsol-relaxed geometry.

Results
- Formation energy from the elements: -0.1597 eV/atom
- Energy: -28.645 eV per atom
- Energy above the most stable polymorph in this dataset: 0.0729 eV/atom
- M_tot: 0.00 μB per formula unit
- Crystal system: orthorhombic

Lattice parameters (Å, degrees): 5.350 6.728 6.071 90.00 90.00 90.00
Space group Pmmn (No. 59, origin choice 2)
Unique sites:
Y 0.250 0.006 0.158
Y 0.250 0.250 0.631
Cd 0.250 0.750 0.667

=====

A plane-wave DFT calculation with SCAN was carried out for YCd8 at its PBEsol-relaxed geometry.

Results
- Formation energy from the elements: -0.1639 eV/atom
- Energy: -30.293 eV per atom
- M_tot: 0.00 μB per formula unit
- Crystal system: tetragonal

Lattice parameters (Å, degrees): 9.249 9.249 4.495 90.00 90.00 90.00
Space group I4/mmm (No. 139)
Unique sites:
Y 0.000 0.000 0.000
Cd 0.000 0.339 0.000
Cd 0.172 0.172 0.500

=====

A plane-wave DFT calculation with SCAN was carried out for YCd7 at its PBEsol-relaxed geometry.

Results
- Formation energy from the elements: -0.0975 eV/atom
- Energy: -30.190 eV per atom
- M_tot: 0.00 μB per formula unit
- Crystal system: cubic

Lattice parameters (Å, degrees): 8.931 8.931 8.931 90.00 90.00 90.00
Space group Fm-3m (No. 225)
Unique sites:
Y 0.000 0.000 0.000
Cd 0.000 0.000 0.500
Cd 0.000 0.250 0.250

=====

A plane-wave DFT calculation with SCAN was carried out for Y5Cd4 at its PBEsol-relaxed geometry.

Results
- Formation energy from the elements: -0.3675 eV/atom
- Energy: -29.353 eV per atom
- M_tot: 0.00 μB per formula unit
- Crystal system: hexagonal

Lattice parameters (Å, degrees): 9.1088 9.1088 6.5386 90.00 90.00 120.00
Space group P6_3/mcm (No. 193)
Unique sites:
Y 0.0000 0.2974 0.2500
Y 0.3333 0.6667 0.0000
Cd 0.0000 0.0000 0.0000
Cd 0.0000 0.3682 0.7500

=====

A plane-wave DFT calculation with SCAN was carried out for Y3Cd at its PBEsol-relaxed geometry.

Results
- Formation energy from the elements: 0.7325 eV/atom
- Energy: -27.753 eV per atom
- Energy above the most stable polymorph in this dataset: 0.9651 eV/atom
- M_tot: 0.00 μB per formula unit
- Crystal system: cubic

Lattice parameters (Å, degrees): 5.670 5.670 5.670 90.00 90.00 90.00
Space group Pm-3m (No. 221)
Unique sites:
Y 0.000 0.000 0.500
Cd 0.000 0.000 0.000